1.
Density functional theory data (PBE-GGA) for an optimized crystal structure of Dy6HoEr12.

energy relative to the lowest polymorph listed for this composition	0	kJ/mol of formula units
final energy	-4.415	eV/atom

abc: 11.7440 11.7440 15.0422
angles: 90.00 90.00 120.00
Space group R-3 (No. 148, hexagonal axes)
Inequivalent atoms, fractional coordinates:
Dy (0.0098, 0.5874, 0.1781) x18
Ho (0.0000, 0.0000, 0.5000) x3
Er (0.0187, 0.1819, 0.6915) x18
Er (0.0405, 0.1886, 0.9154) x18

---

2.
Density functional theory data (PBE-GGA) for an optimized crystal structure of DyHo2Er6.

energy relative to the lowest polymorph listed for this composition	0	kJ/mol of formula units
final energy	-4.570	eV/atom

abc: 17.046 3.540 11.755
angles: 90.00 129.16 90.00
Space group C2/m (No. 12)
Inequivalent atoms, fractional coordinates:
Dy (0.000, 0.000, 0.000) x2
Ho (0.204, 0.500, 0.074) x4
Er (0.037, 0.000, 0.740) x4
Er (0.129, 0.500, 0.592) x4
Er (0.167, 0.500, 0.334) x4

---

3.
Density functional theory data (PBE-GGA) for an optimized crystal structure of Dy5HoEr7.

energy relative to the lowest polymorph listed for this composition	0	kJ/mol of formula units
final energy	-4.317	eV/atom

abc: 6.625 10.981 11.424
angles: 90.00 90.00 90.00
Space group Imm2 (No. 44)
Inequivalent atoms, fractional coordinates:
Dy (0.000, 0.000, 0.000) x2
Dy (0.231, 0.273, 0.999) x8
Ho (0.000, 0.500, 0.193) x2
Er (0.000, 0.000, 0.500) x2
Er (0.000, 0.170, 0.250) x4
Er (0.000, 0.170, 0.749) x4
Er (0.000, 0.500, 0.499) x2
Er (0.000, 0.500, 0.806) x2

---

4.
Density functional theory data (PBE-GGA) for an optimized crystal structure of Dy3HoEr8.

final energy	-3.841	eV/atom

abc: 7.596 7.596 15.211
angles: 90.00 90.00 90.00
Space group I4/mmm (No. 139)
Inequivalent atoms, fractional coordinates:
Dy (0.000, 0.000, 0.000) x2
Dy (0.000, 0.500, 0.250) x4
Ho (0.000, 0.000, 0.500) x2
Er (0.250, 0.250, 0.125) x16

---

5.
Density functional theory data (PBE-GGA) for an optimized crystal structure of DyHo4Er.

energy relative to the lowest polymorph listed for this composition	153	kJ/mol of formula units
final energy	-4.312	eV/atom

abc: 9.195 9.195 9.195
angles: 90.00 90.00 90.00
Space group F-43m (No. 216)
Inequivalent atoms, fractional coordinates:
Dy (0.000, 0.000, 0.000) x4
Ho (0.125, 0.125, 0.375) x16
Er (0.250, 0.250, 0.750) x4

---

6.
Density functional theory data (PBE-GGA) for an optimized crystal structure of Dy4HoEr2.

energy relative to the lowest polymorph listed for this composition	0	kJ/mol of formula units
final energy	-4.549	eV/atom

abc: 16.585 3.498 8.647
angles: 90.00 119.60 90.00
Space group C2/m (No. 12)
Inequivalent atoms, fractional coordinates:
Dy (0.140, 0.000, 0.334) x4
Dy (0.204, 0.000, 0.794) x4
Ho (0.000, 0.500, 0.500) x2
Er (0.070, 0.500, 0.930) x4

---

7.
Density functional theory data (PBE-GGA) for an optimized crystal structure of Dy2Ho5Er3.

energy relative to the lowest polymorph listed for this composition	0	kJ/mol of formula units
final energy	-4.373	eV/atom

abc: 10.541 15.563 9.372
angles: 90.00 124.02 90.00
Space group C2/c (No. 15)
Inequivalent atoms, fractional coordinates:
Dy (0.141, 0.126, 0.046) x8
Ho (0.000, 0.230, 0.250) x4
Ho (0.000, 0.275, 0.750) x4
Ho (0.000, 0.472, 0.750) x4
Ho (0.233, 0.379, 0.217) x8
Er (0.000, 0.023, 0.250) x4
Er (0.157, 0.379, 0.548) x8

---

8.
Density functional theory data (PBE-GGA) for an optimized crystal structure of DyHoEr2.

energy relative to the lowest polymorph listed for this composition	55	kJ/mol of formula units
final energy	-4.434	eV/atom

abc: 7.931 7.931 7.931
angles: 90.00 90.00 90.00
Space group Fm-3m (No. 225)
Inequivalent atoms, fractional coordinates:
Dy (0.000, 0.000, 0.000) x4
Ho (0.000, 0.000, 0.500) x4
Er (0.250, 0.250, 0.250) x8

---

9.
Density functional theory data (PBE-GGA) for an optimized crystal structure of DyHo2Er7.

energy relative to the lowest polymorph listed for this composition	662	kJ/mol of formula units
final energy	-3.860	eV/atom

abc: 8.620 16.885 5.170
angles: 90.00 90.00 90.00
Space group Cmmm (No. 65)
Inequivalent atoms, fractional coordinates:
Dy (0.000, 0.000, 0.000) x2
Ho (0.000, 0.299, 0.500) x4
Er (0.000, 0.198, 0.000) x4
Er (0.000, 0.500, 0.500) x2
Er (0.179, 0.109, 0.500) x8

---

10.
Density functional theory data (PBE-GGA) for an optimized crystal structure of Dy8Ho4Er3.

energy relative to the lowest polymorph listed for this composition	0	kJ/mol of formula units
final energy	-4.439	eV/atom

abc: 6.8654 6.8654 34.9618
angles: 90.00 90.00 120.00
Space group R-3m (No. 166, hexagonal axes)
Inequivalent atoms, fractional coordinates:
Dy (0.0000, 0.0000, 0.2450) x6
Dy (0.0016, 0.5008, 0.7505) x18
Ho (0.0000, 0.0000, 0.0000) x3
Ho (0.0000, 0.0000, 0.3362) x6
Ho (0.0000, 0.0000, 0.5000) x3
Er (0.0000, 0.5000, 0.5000) x9

---

11.
Density functional theory data (PBE-GGA) for an optimized crystal structure of Dy12Ho5Er2.

energy relative to the lowest polymorph listed for this composition	0	kJ/mol of formula units
final energy	-4.503	eV/atom

abc: 6.447 8.797 11.347
angles: 109.56 92.85 98.02
Space group P-1 (No. 2)
Inequivalent atoms, fractional coordinates:
Dy (0.026, 0.200, 0.137) x2
Dy (0.166, 0.872, 0.576) x2
Dy (0.205, 0.170, 0.858) x2
Dy (0.276, 0.597, 0.041) x2
Dy (0.445, 0.657, 0.768) x2
Dy (0.469, 0.261, 0.630) x2
Ho (0.012, 0.390, 0.718) x2
Ho (0.305, 0.011, 0.301) x2
Ho (0.500, 0.000, 0.000) x1
Er (0.236, 0.444, 0.460) x2

---

12.
Density functional theory data (PBE-GGA) for an optimized crystal structure of DyHo8Er2.

energy relative to the lowest polymorph listed for this composition	0	kJ/mol of formula units
final energy	-4.413	eV/atom

abc: 18.809 6.863 5.504
angles: 90.00 92.93 90.00
Space group C2/m (No. 12)
Inequivalent atoms, fractional coordinates:
Dy (0.000, 0.000, 0.000) x2
Ho (0.047, 0.500, 0.236) x4
Ho (0.132, 0.266, 0.732) x8
Ho (0.188, 0.000, 0.232) x4
Er (0.216, 0.500, 0.251) x4

---

13.
Density functional theory data (PBE-GGA) for an optimized crystal structure of Dy4Ho9Er11.

final energy	-4.525	eV/atom

abc: 16.479 24.839 3.627
angles: 90.00 90.00 90.00
Space group Cmmm (No. 65)
Inequivalent atoms, fractional coordinates:
Dy (0.155, 0.101, 0.000) x8
Ho (0.000, 0.000, 0.000) x2
Ho (0.102, 0.234, 0.000) x8
Ho (0.141, 0.427, 0.000) x8
Er (0.000, 0.133, 0.500) x4
Er (0.000, 0.340, 0.500) x4
Er (0.000, 0.500, 0.500) x2
Er (0.209, 0.000, 0.500) x4
Er (0.226, 0.319, 0.500) x8

---

14.
Density functional theory data (PBE-GGA) for an optimized crystal structure of Dy4Ho7Er.

energy relative to the lowest polymorph listed for this composition	0	kJ/mol of formula units
final energy	-4.494	eV/atom

abc: 6.442 6.729 8.976
angles: 85.84 76.81 82.02
Space group P-1 (No. 2)
Inequivalent atoms, fractional coordinates:
Dy (0.140, 0.308, 0.284) x2
Dy (0.340, 0.883, 0.691) x2
Ho (0.014, 0.252, 0.948) x2
Ho (0.185, 0.799, 0.359) x2
Ho (0.309, 0.393, 0.613) x2
Ho (0.500, 0.000, 0.000) x1
Er (0.500, 0.500, 0.000) x1

---

15.
Density functional theory data (PBE-GGA) for an optimized crystal structure of Dy4HoEr4.

final energy	-4.561	eV/atom

abc: 10.556 10.556 4.964
angles: 90.00 90.00 90.00
Space group I4/mmm (No. 139)
Inequivalent atoms, fractional coordinates:
Dy (0.000, 0.333, 0.000) x8
Ho (0.000, 0.000, 0.000) x2
Er (0.167, 0.167, 0.500) x8

---

16.
Density functional theory data (PBE-GGA) for an optimized crystal structure of Dy3Ho6Er.

energy relative to the lowest polymorph listed for this composition	25	kJ/mol of formula units
final energy	-4.434	eV/atom

abc: 10.909 18.808 6.138
angles: 90.00 90.00 90.00
Space group Cmc2_1 (No. 36)
Inequivalent atoms, fractional coordinates:
Dy (0.000, 0.110, 0.000) x4
Dy (0.170, 0.391, 0.612) x8
Ho (0.000, 0.218, 0.427) x4
Ho (0.000, 0.453, 0.151) x4
Ho (0.165, 0.047, 0.534) x8
Ho (0.248, 0.210, 0.708) x8
Er (0.000, 0.293, 0.925) x4

---

17.
Density functional theory data (PBE-GGA) for an optimized crystal structure of Dy3HoEr7.

energy relative to the lowest polymorph listed for this composition	0	kJ/mol of formula units
final energy	-4.419	eV/atom

abc: 6.871 5.454 9.837
angles: 90.00 110.33 90.00
Space group P2/m (No. 10)
Inequivalent atoms, fractional coordinates:
Dy (0.000, 0.000, 0.000) x1
Dy (0.280, 0.500, 0.499) x2
Ho (0.500, 0.000, 0.000) x1
Er (0.000, 0.000, 0.500) x1
Er (0.146, 0.500, 0.791) x2
Er (0.320, 0.500, 0.140) x2
Er (0.416, 0.000, 0.330) x2

---

18.
Density functional theory data (PBE-GGA) for an optimized crystal structure of DyHoEr2.

energy relative to the lowest polymorph listed for this composition	0	kJ/mol of formula units
final energy	-4.576	eV/atom

abc: 5.562 12.430 7.194
angles: 90.00 90.00 90.00
Space group Ama2 (No. 40)
Inequivalent atoms, fractional coordinates:
Dy (0.250, 0.167, 0.000) x4
Ho (0.250, 0.417, 0.250) x4
Er (0.250, 0.166, 0.500) x4
Er (0.250, 0.417, 0.750) x4

---

19.
Density functional theory data (PBE-GGA) for an optimized crystal structure of DyHo5Er3.

energy relative to the lowest polymorph listed for this composition	0	kJ/mol of formula units
final energy	-4.337	eV/atom

abc: 16.139 8.697 10.935
angles: 90.00 132.24 90.00
Space group C2/c (No. 15)
Inequivalent atoms, fractional coordinates:
Dy (0.000, 0.238, 0.250) x4
Ho (0.000, 0.327, 0.750) x4
Ho (0.097, 0.380, 0.116) x8
Ho (0.182, 0.284, 0.666) x8
Er (0.000, 0.000, 0.000) x4
Er (0.217, 0.034, 0.967) x8